LiCr2Ag: relaxed, PBE-GGA. Values from VASP.

```
&SYSTEM
  ibrav = 0, nat = 4, ntyp = 3
/
ATOMIC_SPECIES
Ag 107.87 Ag.upf
Cr 52.00 Cr.upf
Li 6.94 Li.upf
CELL_PARAMETERS angstrom
2.493 0.000 0.000
0.000 2.493 0.000
0.000 0.000 9.011
ATOMIC_POSITIONS angstrom
Ag 1.246 1.246 6.758
Cr 0.000 0.000 0.021
Li 1.246 1.246 2.253
Cr 0.000 0.000 4.484
```

For the density of states at the Fermi level, the calculation gives 5.03 states/eV per cell. The calculation puts the spin magnetization at 0.0000 μB per atom. The calculation puts the energy above the lowest structure with this stoichiometry at 464 meV per atom. Its total energy is -5.27 eV per atom.